#a
Computed, not measured: a PBEsol-optimized structure of Gd3TaO7 at the meta-GGA SCAN level of DFT.

a = 6.491 Å, b = 6.491 Å, c = 7.493 Å
α = 90.00°, β = 90.00°, γ = 109.02°
Fractional positions:
Gd (0.031, 0.031, 0.000)
Gd (0.036, 0.499, 0.259)
Gd (0.499, 0.036, 0.741)
Gd (0.501, 0.964, 0.241)
Gd (0.964, 0.501, 0.759)
Gd (0.969, 0.969, 0.500)
Ta (0.499, 0.499, 0.500)
Ta (0.501, 0.501, 0.000)
O (0.129, 0.871, 0.750)
O (0.138, 0.862, 0.250)
O (0.173, 0.418, 0.976)
O (0.192, 0.448, 0.543)
O (0.418, 0.173, 0.024)
O (0.435, 0.565, 0.250)
O (0.448, 0.192, 0.457)
O (0.552, 0.808, 0.957)
O (0.565, 0.435, 0.750)
O (0.582, 0.827, 0.524)
O (0.808, 0.552, 0.043)
O (0.827, 0.582, 0.476)
O (0.862, 0.138, 0.750)
O (0.871, 0.129, 0.250)

total moment: 42.00 μB per cell
space group: C222_1

---

#b
Computed, not measured: a PBEsol-optimized structure of Gd3TaO7 at the meta-GGA SCAN level of DFT.

a = 6.457 Å, b = 6.457 Å, c = 7.519 Å
α = 90.00°, β = 90.00°, γ = 68.96°
Fractional positions:
Gd (0.000, 0.000, 0.000)
Gd (0.000, 0.000, 0.500)
Gd (0.063, 0.480, 0.750)
Gd (0.480, 0.063, 0.250)
Gd (0.520, 0.937, 0.750)
Gd (0.937, 0.520, 0.250)
Ta (0.500, 0.500, 0.000)
Ta (0.500, 0.500, 0.500)
O (0.109, 0.154, 0.250)
O (0.154, 0.109, 0.750)
O (0.179, 0.564, 0.036)
O (0.179, 0.564, 0.464)
O (0.423, 0.577, 0.750)
O (0.436, 0.821, 0.036)
O (0.436, 0.821, 0.464)
O (0.564, 0.179, 0.536)
O (0.564, 0.179, 0.964)
O (0.577, 0.423, 0.250)
O (0.821, 0.436, 0.536)
O (0.821, 0.436, 0.964)
O (0.846, 0.891, 0.250)
O (0.891, 0.846, 0.750)

total moment: 42.00 μB per cell
space group: Cmcm

---

Most stable structure, least stable structure: #a, #b.

---

#a
Computed, not measured: a PBEsol-optimized structure of Gd2W2O9 at the meta-GGA SCAN level of DFT.

a = 6.721 Å, b = 7.029 Å, c = 7.325 Å
α = 71.06°, β = 84.37°, γ = 82.78°
Fractional positions:
Gd (0.115, 0.286, 0.381)
Gd (0.351, 0.737, 0.842)
Gd (0.649, 0.263, 0.158)
Gd (0.885, 0.714, 0.619)
W (0.228, 0.264, 0.947)
W (0.341, 0.793, 0.365)
W (0.659, 0.207, 0.635)
W (0.772, 0.736, 0.053)
O (0.004, 0.759, 0.904)
O (0.137, 0.642, 0.374)
O (0.173, 0.491, 0.747)
O (0.183, 0.910, 0.541)
O (0.235, 0.057, 0.851)
O (0.316, 0.431, 0.090)
O (0.351, 0.069, 0.216)
O (0.461, 0.303, 0.467)
O (0.468, 0.739, 0.142)
O (0.532, 0.261, 0.858)
O (0.539, 0.697, 0.533)
O (0.649, 0.931, 0.784)
O (0.684, 0.569, 0.910)
O (0.765, 0.943, 0.149)
O (0.817, 0.090, 0.459)
O (0.827, 0.509, 0.253)
O (0.863, 0.358, 0.626)
O (0.996, 0.241, 0.096)

total moment: 27.95 μB per cell
space group: P-1

---

#b
Computed, not measured: a PBEsol-optimized structure of Gd2W2O9 at the meta-GGA SCAN level of DFT.

a = 9.706 Å, b = 9.706 Å, c = 7.137 Å
α = 90.00°, β = 90.00°, γ = 105.71°
Fractional positions:
Gd (0.123, 0.410, 0.500)
Gd (0.227, 0.773, 0.250)
Gd (0.227, 0.773, 0.750)
Gd (0.410, 0.123, 0.500)
Gd (0.590, 0.877, 0.000)
Gd (0.773, 0.227, 0.250)
Gd (0.773, 0.227, 0.750)
Gd (0.877, 0.590, 0.000)
W (0.047, 0.047, 0.500)
W (0.148, 0.394, 0.000)
W (0.394, 0.148, 0.000)
W (0.500, 0.500, 0.250)
W (0.500, 0.500, 0.750)
W (0.606, 0.852, 0.500)
W (0.852, 0.606, 0.500)
W (0.953, 0.953, 0.000)
O (0.000, 0.000, 0.250)
O (0.000, 0.000, 0.750)
O (0.032, 0.329, 0.798)
O (0.032, 0.330, 0.202)
O (0.089, 0.849, 0.000)
O (0.113, 0.577, 0.000)
O (0.151, 0.911, 0.500)
O (0.200, 0.200, 0.500)
O (0.209, 0.632, 0.500)
O (0.229, 0.229, 0.000)
O (0.304, 0.477, 0.189)
O (0.304, 0.477, 0.811)
O (0.329, 0.032, 0.202)
O (0.330, 0.032, 0.798)
O (0.368, 0.791, 0.000)
O (0.423, 0.887, 0.500)
O (0.442, 0.442, 0.500)
O (0.477, 0.304, 0.189)
O (0.477, 0.304, 0.811)
O (0.523, 0.696, 0.311)
O (0.523, 0.696, 0.689)
O (0.558, 0.558, 0.000)
O (0.577, 0.113, 0.000)
O (0.632, 0.209, 0.500)
O (0.670, 0.968, 0.298)
O (0.671, 0.968, 0.702)
O (0.696, 0.523, 0.311)
O (0.696, 0.523, 0.689)
O (0.771, 0.771, 0.500)
O (0.791, 0.368, 0.000)
O (0.800, 0.800, 0.000)
O (0.849, 0.089, 0.000)
O (0.887, 0.423, 0.500)
O (0.911, 0.151, 0.500)
O (0.968, 0.670, 0.702)
O (0.968, 0.671, 0.298)

total moment: 55.98 μB per cell
space group: C222_1

---

Most stable structure, least stable structure: #a, #b.

---

#a
Computed, not measured: a PBEsol-optimized structure of Ge at the meta-GGA SCAN level of DFT.

a = 3.990 Å, b = 3.990 Å, c = 6.576 Å
α = 90.00°, β = 90.00°, γ = 120.00°
Fractional positions:
Ge (0.333, 0.667, 0.063)
Ge (0.333, 0.667, 0.437)
Ge (0.667, 0.333, 0.563)
Ge (0.667, 0.333, 0.937)

total moment: 0.00 μB per cell
space group: P6_3/mmc

---

#b
Computed, not measured: a PBEsol-optimized structure of Ge at the meta-GGA SCAN level of DFT.

a = 5.663 Å, b = 5.663 Å, c = 5.663 Å
α = 90.00°, β = 90.00°, γ = 90.00°
Fractional positions:
Ge (0.125, 0.125, 0.125)
Ge (0.125, 0.625, 0.625)
Ge (0.375, 0.375, 0.875)
Ge (0.375, 0.875, 0.375)
Ge (0.625, 0.125, 0.625)
Ge (0.625, 0.625, 0.125)
Ge (0.875, 0.375, 0.375)
Ge (0.875, 0.875, 0.875)

total moment: 0.00 μB per cell
space group: Fd-3m

---

Most stable structure, least stable structure: #b, #a.

---

#a
Computed, not measured: a PBEsol-optimized structure of Ni3GeH at the meta-GGA SCAN level of DFT.

a = 3.582 Å, b = 3.582 Å, c = 3.582 Å
α = 90.00°, β = 90.00°, γ = 90.00°
Fractional positions:
Ni (0.000, 0.000, 0.500)
Ni (0.000, 0.500, 0.000)
Ni (0.500, 0.000, 0.000)
Ge (0.500, 0.500, 0.500)
H (0.000, 0.000, 0.000)

total moment: 0.00 μB per cell
space group: Pm-3m

---

#b
Computed, not measured: a PBEsol-optimized structure of Ni3GeH at the meta-GGA SCAN level of DFT.

a = 4.287 Å, b = 4.287 Å, c = 4.287 Å
α = 90.00°, β = 90.00°, γ = 90.00°
Fractional positions:
Ni (0.000, 0.000, 0.500)
Ni (0.000, 0.500, 0.000)
Ni (0.500, 0.000, 0.000)
Ge (0.000, 0.000, 0.000)
H (0.500, 0.500, 0.500)

total moment: 0.00 μB per cell
space group: Pm-3m

---

Most stable structure, least stable structure: #a, #b.